1.
Here is a relaxed structure of LaAlIr2 from the Alexandria database. Energies are from GGA-PBE.

Unit cell a=7.636 b=4.407 c=5.673 alpha=90.00 beta=116.84 gamma=90.00
Space group C2/m (No. 12)
Asymmetric unit:
La 0.000 0.000 0.000 x2
Al 0.000 0.500 0.500 x2
Ir 0.196 0.000 0.587 x4

## Properties
formation enthalpy at 0 K: -0.63 eV/atom
E: -7.2255 eV per atom

***

2.
Here is a relaxed structure of RbMnGeRh2 from the Alexandria database. Energies are from GGA-PBE.

Unit cell a=4.674 b=4.674 c=5.431 alpha=90.00 beta=90.00 gamma=90.00
Space group P4/mmm (No. 123)
Asymmetric unit:
Rb 0.000 0.000 0.000 x1
Mn 0.000 0.000 0.500 x1
Ge 0.500 0.500 0.000 x1
Rh 0.000 0.500 0.500 x2

## Properties
formation enthalpy at 0 K: 1.20 eV/atom
E: -4.6866 eV per atom

***

3.
Here is a relaxed structure of LaTiO2 from the Alexandria database. Energies are from GGA-PBE.

Unit cell a=5.098 b=5.098 c=10.286 alpha=90.00 beta=90.00 gamma=90.00
Space group I-42d (No. 122)
Asymmetric unit:
La 0.000 0.000 0.000 x4
Ti 0.000 0.000 0.500 x4
O 0.174 0.250 0.625 x8

## Properties
formation energy from raw total energies: -2.306 eV/atom
E: -7.9911 eV per atom
energy above the lowest structure with this stoichiometry: 278.3 meV per atom

***

4.
Here is a relaxed structure of LaNi2Sn from the Alexandria database. Energies are from GGA-PBE.

Unit cell a=7.462 b=6.637 c=6.445 alpha=90.00 beta=90.00 gamma=90.00
Space group Pnma (No. 62)
Asymmetric unit:
La 0.015 0.250 0.181 x4
Ni 0.162 0.061 0.563 x8
Sn 0.141 0.750 0.327 x4

## Properties
formation enthalpy at 0 K: -0.49 eV/atom
E: -5.6136 eV per atom

***

5.
Here is a relaxed structure of BPS4 from the Alexandria database. Energies are from GGA-PBE.

Unit cell a=5.979 b=5.979 c=9.211 alpha=90.00 beta=90.00 gamma=90.00
Space group P4_2/mmc (No. 131)
Asymmetric unit:
B 0.000 0.000 0.000 x2
P 0.000 0.500 0.000 x2
S 0.233 0.238 0.500 x8

## Properties
formation energy from raw total energies: 0.381 eV/atom
E: -4.3848 eV per atom

***

6.
Here is a relaxed structure of Zn4OsBr from the Alexandria database. Energies are from GGA-PBE.

Unit cell a=7.252 b=7.252 c=7.252 alpha=90.00 beta=90.00 gamma=90.00
Space group F-43m (No. 216)
Asymmetric unit:
Zn 0.124 0.124 0.124 x16
Os 0.250 0.250 0.750 x4
Br 0.000 0.000 0.500 x4

## Properties
formation energy from raw total energies: 0.576 eV/atom
E: -2.4239 eV per atom

***

Which formula does entry 2 have?
RbMnGeRh2